## P
Here is a geometry-optimized MgAsOs3 structure from Alexandria. Energies are from PBE-GGA.

Results
space-group type = Pm-3m (221)

Unit cell a=4.5407 b=4.5407 c=4.5407 alpha=90.00 beta=90.00 gamma=90.00
Last column: magnetic moment on the atom in μB.
Fractional positions:
As  0.0000  0.0000  0.0000  -0.01
Os  0.0000  0.5000  0.0000  0.24
Os  0.0000  0.0000  0.5000  0.16
Os  0.5000  0.0000  0.0000  0.25
Mg  0.5000  0.5000  0.5000  -0.01

## Q
Here is a geometry-optimized MgAsOs3 structure from Alexandria. Energies are from PBE-GGA.

Results
space-group type = Pm-3m (221)

Unit cell a=4.5009 b=4.5009 c=4.5009 alpha=90.00 beta=90.00 gamma=90.00
Last column: magnetic moment on the atom in μB.
Fractional positions:
As  0.5000  0.5000  0.5000  -0.04
Os  0.0000  0.5000  0.0000  0.32
Os  0.0000  0.0000  0.5000  0.19
Os  0.5000  0.0000  0.0000  0.25
Mg  0.0000  0.0000  0.0000  -0.01

P wins, 1127 meV/atom ahead of the next structure.